Entry 1:
A plane-wave DFT calculation with GGA-PBE was carried out for crystalline Rb5LiSn6 at its relaxed geometry.

Output
SG: No. 12
Total DFT energy (no corrections) in eV/atom: -2.704
Formation energy from the elements in eV/atom: -0.140

abc: 9.564 7.622 8.329
angles: 62.77 81.98 72.24
Sites, in units of the cell vectors:
Rb  0.500  0.770  0.460
Sn  0.676  0.894  0.000
Rb  0.500  0.230  0.540
Sn  0.212  0.965  0.781
Rb  0.000  0.650  0.700
Sn  0.324  0.106  0.000
Sn  0.788  0.035  0.219
Rb  0.500  0.500  0.000
Li  0.000  0.000  0.000
Sn  0.788  0.254  0.781
Rb  0.000  0.350  0.300
Sn  0.212  0.746  0.219

Entry 2:
A plane-wave DFT calculation with GGA-PBE was carried out for crystalline Rb2LiSnTe4 at its relaxed geometry.

Output
SG: No. 121
Raw formation energy in eV/atom: -0.620
Total DFT energy (no corrections) in eV/atom: -3.173

abc: 7.740 7.328 7.328
angles: 73.81 58.12 58.12
Sites, in units of the cell vectors:
Rb  0.000  0.500  0.500
Te  0.430  0.663  0.000
Te  0.907  0.000  0.663
Li  0.000  0.000  0.000
Te  0.570  0.000  0.337
Rb  0.500  0.500  0.500
Sn  0.500  0.000  0.000
Te  0.093  0.337  0.000

no.,calculated density (g/cm³),N(E_F) (states/eV/atom)
1,3.7,0.142
2,4.5,1.372